The following is a DFT calculation (PBE) of TaCo3Si after structural relaxation.

Cell and atoms, written as extended XYZ:
```
5
Lattice="3.598 0.000 0.000 0.000 3.598 0.000 0.000 0.000 4.869" Properties=species:S:1:pos:R:3 pbc="T T T"
Ta 0.000 0.000 0.000
Co 0.000 1.799 2.292
Co 1.799 0.000 2.292
Co 1.799 1.799 0.851
Si 1.799 1.799 3.622
```

Properties
Uncorrected formation energy, eV per atom: -0.21
Symmetry: P4mm, No. 99

The following is a DFT calculation (PBE) of Tm2NbAl after structural relaxation.

Cell and atoms, written as extended XYZ:
```
4
Lattice="4.478 0.000 0.000 0.000 4.478 0.000 0.000 0.000 4.428" Properties=species:S:1:pos:R:3 pbc="T T T"
Tm 0.000 2.239 0.000
Tm 2.239 0.000 0.000
Nb 0.000 0.000 2.214
Al 2.239 2.239 2.214
```

Properties
Formation energy, eV per atom: -0.0416
Symmetry: P4/mmm, No. 123

Total moment? In order: 0.00, 0.00 μB per formula unit.